(1)
Compound: Ir2WBr
Source: the Alexandria database
Functional: PBE-GGA
Structure: relaxed

calculated density = 16.2 g/cm3
E above lowest polymorph = 453.8 meV per atom
D(E_F) = 3.15 states/eV/cell
volume = 66 Å³ per cell
uncorrected formation energy = 0.71 eV/atom

Cell and atoms, written as extended XYZ:
```
4
Lattice="2.8156 0.0000 0.0000 0.0000 4.5965 0.0000 -0.0233 0.0000 5.1251" Properties=species:S:1:pos:R:3 pbc="T T T"
Ir 0.0000 0.0000 0.0000
Ir 0.0094 2.2983 1.6836
W 1.4256 0.0000 2.3874
Br -0.0005 2.2983 4.1824
```


(2)
Compound: PuSc2
Source: the Alexandria database
Functional: PBE-GGA
Structure: relaxed

calculated density = 7.5 g/cm3
E above lowest polymorph = 42.6 meV per atom
D(E_F) = 43.47 states/eV/cell
volume = 295 Å³ per cell

Cell and atoms, written as extended XYZ:
```
12
Lattice="6.5163 0.0000 0.0000 0.0000 4.6215 0.0000 0.0000 0.0000 9.8060" Properties=species:S:1:pos:R:3 pbc="T T T"
Pu 0.7586 1.1554 0.7396
Pu 2.4995 3.4662 5.6426
Pu 4.0168 1.1554 4.1634
Pu 5.7576 3.4662 9.0664
Sc 0.7578 1.1554 4.0467
Sc 0.8965 1.1554 7.3155
Sc 2.3616 3.4662 2.4125
Sc 2.5004 3.4662 8.9497
Sc 4.0159 1.1554 0.8563
Sc 4.1546 1.1554 7.3935
Sc 5.6198 3.4662 2.4905
Sc 5.7585 3.4662 5.7593
```


(3)
Compound: Na3PmTe3
Source: the Alexandria database
Functional: PBE-GGA
Structure: relaxed

calculated density = 4.0 g/cm3
E above lowest polymorph = 0.0 meV per atom
D(E_F) = 0.00 states/eV/cell
volume = 491 Å³ per cell
uncorrected formation energy = -1.09 eV/atom

Cell and atoms, written as extended XYZ:
```
14
Lattice="4.3226 2.4956 7.5845 -4.3226 2.4956 7.5845 0.0000 -4.9913 7.5845" Properties=species:S:1:pos:R:3 pbc="T T T"
Na -1.1515 -2.8352 10.2266
Na -3.0311 -0.4204 12.5270
Na -1.8796 2.4148 10.2266
Na 1.8796 -2.4148 12.5270
Na 3.0311 0.4204 10.2266
Na 1.1515 2.8352 12.5270
Pm 0.0000 0.0000 7.6093
Pm 0.0000 0.0000 15.1442
Te -2.7387 -0.3574 9.3216
Te -1.0598 -2.5505 13.4319
Te 1.6788 -2.1931 9.3216
Te -1.6788 2.1931 13.4319
Te 1.0598 2.5505 9.3216
Te 2.7387 0.3574 13.4319
```


(4)
Compound: Cu2SiAu
Source: the Alexandria database
Functional: PBE-GGA
Structure: relaxed

calculated density = 10.4 g/cm3
D(E_F) = 1.36 states/eV/cell
volume = 56 Å³ per cell
uncorrected formation energy = 0.04 eV/atom

Cell and atoms, written as extended XYZ:
```
4
Lattice="4.2983 -1.4182 0.0000 4.2983 1.4182 0.0000 -0.8481 0.0000 4.6223" Properties=species:S:1:pos:R:3 pbc="T T T"
Cu 0.0000 0.0000 0.0000
Cu 6.2456 0.0000 1.0010
Si 3.8295 0.0000 2.0177
Au 1.4782 0.0000 3.2955
```


(5)
Compound: AsPtO2
Source: the Alexandria database
Functional: PBE-GGA
Structure: relaxed

calculated density = 9.5 g/cm3
D(E_F) = 0.83 states/eV/cell
volume = 53 Å³ per cell
uncorrected formation energy = -0.36 eV/atom

Cell and atoms, written as extended XYZ:
```
4
Lattice="1.5430 0.8908 6.4247 -1.5430 0.8908 6.4247 0.0000 -1.7816 6.4247" Properties=species:S:1:pos:R:3 pbc="T T T"
As 0.0000 0.0000 0.0000
Pt 0.0000 0.0000 9.6370
O 0.0000 0.0000 7.6169
O 0.0000 0.0000 11.6571
```


(6)
Compound: Ho3TmMg
Source: the Alexandria database
Functional: PBE-GGA
Structure: relaxed

calculated density = 7.2 g/cm3
E above lowest polymorph = 214.6 meV per atom
D(E_F) = 13.66 states/eV/cell
volume = 318 Å³ per cell

Cell and atoms, written as extended XYZ:
```
10
Lattice="3.5593 0.0000 0.0000 0.0000 11.0689 0.0000 -1.7493 0.0000 8.0668" Properties=species:S:1:pos:R:3 pbc="T T T"
Ho 0.0179 0.0742 2.4612
Ho 0.0179 5.4603 2.4612
Ho 0.0236 2.7672 4.8499
Ho 1.7864 8.3017 3.2169
Ho 1.7922 5.6086 5.6056
Ho 1.7922 10.9948 5.6056
Tm -0.0197 8.3017 0.3026
Tm 1.8298 2.7672 7.7642
Mg 0.0086 8.3017 5.7800
Mg 1.8014 2.7672 2.2868
```


(7)
Compound: MnRh2PbBr
Source: the Alexandria database
Functional: PBE-GGA
Structure: relaxed

calculated density = 8.8 g/cm3
D(E_F) = 2.73 states/eV/cell
volume = 103 Å³ per cell
uncorrected formation energy = 0.70 eV/atom

Cell and atoms, written as extended XYZ:
```
5
Lattice="4.7396 0.0000 0.0000 0.0000 4.7396 0.0000 0.0000 0.0000 4.5908" Properties=species:S:1:pos:R:3 pbc="T T T"
Mn 0.0000 0.0000 0.0000
Rh 0.0000 2.3698 2.2954
Rh 2.3698 0.0000 2.2954
Pb 2.3698 2.3698 0.0000
Br 0.0000 0.0000 2.2954
```


(8)
Compound: Ho2TmPb2
Source: the Alexandria database
Functional: PBE-GGA
Structure: relaxed

uncorrected energy = -4.63 eV per atom
calculated density = 10.3 g/cm3
D(E_F) = 6.32 states/eV/cell
volume = 294 Å³ per cell

Cell and atoms, written as extended XYZ:
```
10
Lattice="2.4945 -9.0622 0.0000 2.4945 9.0622 0.0000 0.0000 0.0000 6.5008" Properties=species:S:1:pos:R:3 pbc="T T T"
Ho 2.4945 -9.0585 0.0000
Ho 2.4945 9.0585 3.2504
Ho 2.4945 5.6292 4.8828
Ho 2.4945 -5.6292 1.6324
Tm 2.4945 1.9171 4.8726
Tm 2.4945 -1.9171 1.6222
Pb 2.4945 5.4965 1.6335
Pb 2.4945 1.3709 1.6249
Pb 2.4945 -1.3709 4.8753
Pb 2.4945 -5.4965 4.8839
```